# GaFeN2O (PBE+U, optimized geometry)
data_GaFeN2O
_symmetry_space_group_name_H-M 'P 4/m m m'
_symmetry_Int_Tables_number 123
_symmetry_space_group_name_Hall '-P 4 2'
_cell_length_a 3.615
_cell_length_b 3.615
_cell_length_c 4.061
_cell_angle_alpha 90.00
_cell_angle_beta 90.00
_cell_angle_gamma 90.00
loop_
_atom_site_label
_atom_site_type_symbol
_atom_site_fract_x
_atom_site_fract_y
_atom_site_fract_z
_atom_site_occupancy
Ga1 Ga 0.000 0.000 0.000 1
Fe1 Fe 0.500 0.500 0.500 1
N1 N 0.000 0.500 0.500 1
O1 O 0.500 0.500 0.000 1
# Raw total energy in eV per atom: -4.974